[1]
This record from Alexandria via LeMat-Bulk describes Mn2CdAu4 after structural relaxation. The functional is PBE.

```
14
Lattice="-2.014 3.092 4.608 1.002 -5.999 2.437 7.296 2.474 -3.605" Properties=species:S:1:pos:R:3 pbc="T T T"
Mn 4.828 2.311 1.434
Mn 0.942 -3.296 3.148
Mn 1.095 -0.268 3.129
Mn 5.775 0.750 -0.932
Cd 4.396 -3.480 1.202
Cd 6.991 2.226 -3.222
Au 1.160 2.569 3.303
Au 1.899 -1.909 1.019
Au 3.705 1.115 3.586
Au 3.420 -1.966 3.584
Au 2.207 1.097 0.975
Au 6.024 3.540 -0.784
Au 4.591 -0.517 1.259
Au -0.145 -1.692 5.119
```

Crystal system: triclinic
DFT formation energy in meV/atom: -13.7



[2]
This record from Alexandria via LeMat-Bulk describes MnCd2Au after structural relaxation. The functional is PBE.

```
4
Lattice="-0.487 4.916 1.347 0.090 3.278 3.932 4.820 1.539 -0.102" Properties=species:S:1:pos:R:3 pbc="T T T"
Au 1.106 2.433 1.294
Cd 4.809 1.543 -0.097
Cd 2.223 4.862 2.583
Mn 3.317 7.300 3.882
```

Energy relative to the lowest polymorph listed for this composition in kJ/mol of formula units: 24
Crystal system: monoclinic
DFT formation energy in meV/atom: 77.1